1.
The following is a DFT calculation (GGA-PBE) of crystalline SnPbSeO2 at its relaxed geometry.

The structure in extended XYZ format:
```
5
Lattice="-0.844 -0.523 -4.125 -4.059 -3.286 1.247 -2.647 3.314 0.121" Properties=species:S:1:pos:R:3 pbc="T T T"
Se -2.029 -1.643 0.623
O -0.422 -0.262 -2.063
O -1.323 1.657 0.060
Sn 0.000 0.000 0.000
Pb -3.774 -0.248 -1.379
```

Values from the calculation:
DOS at the Fermi energy	0.74	states/eV per cell
energy	-4.9960	eV/atom

=====

2.
The following is a DFT calculation (GGA-PBE) of crystalline SrPbSeO at its relaxed geometry.

The structure in extended XYZ format:
```
8
Lattice="-1.594 1.071 -3.688 1.626 -3.788 0.541 -12.849 -4.924 4.124" Properties=species:S:1:pos:R:3 pbc="T T T"
Pb -1.867 -0.715 0.599
Pb -8.291 -3.177 2.661
Sr -5.925 -2.620 -0.544
Sr -11.276 -6.702 2.928
Se -2.866 -3.479 0.229
O -6.172 -2.365 1.981
Se -10.364 -4.321 0.881
O -12.596 -4.827 4.042
```

Values from the calculation:
energy	-4.9434	eV/atom

=====

3.
The following is a DFT calculation (GGA-PBE) of crystalline SrPbSe2O8 at its relaxed geometry.

The structure in extended XYZ format:
```
12
Lattice="5.387 0.000 0.000 2.694 4.666 0.000 2.694 1.555 7.419" Properties=species:S:1:pos:R:3 pbc="T T T"
O 2.694 1.555 3.717
Sr 5.387 3.110 3.709
O 4.856 4.717 1.514
Pb 0.000 0.000 0.000
O 4.262 1.847 1.514
O 6.513 4.374 5.904
O 5.919 1.504 5.904
Se 2.694 1.555 2.050
O 3.730 3.454 5.904
Se 8.081 4.666 5.369
O 8.081 4.666 3.701
O 7.044 2.767 1.514
```

Values from the calculation:
DOS at the Fermi energy	0.00	states/eV per cell
energy	-5.5863	eV/atom

=====

4.
The following is a DFT calculation (GGA-PBE) of crystalline TaPbSe2O8 at its relaxed geometry.

The structure in extended XYZ format:
```
12
Lattice="4.949 -0.985 -0.088 1.409 4.846 -0.088 0.238 0.145 6.858" Properties=species:S:1:pos:R:3 pbc="T T T"
O 2.369 3.867 1.354
Se 2.947 1.789 5.163
Ta 0.000 0.000 0.000
O 4.524 0.318 1.354
O 4.228 0.138 5.327
O 4.461 2.709 2.929
O 1.962 1.192 6.460
O 4.634 2.814 0.221
O 2.135 1.296 3.752
O 2.073 3.687 5.327
Pb 0.119 0.072 3.429
Se 3.649 2.216 1.518
```

Values from the calculation:
DOS at the Fermi energy	2.23	states/eV per cell
energy	-6.5022	eV/atom

=====

5.
The following is a DFT calculation (GGA-PBE) of crystalline TbPbSe2O8 at its relaxed geometry.

The structure in extended XYZ format:
```
12
Lattice="-1.915 0.345 5.010 -4.384 -3.048 0.615 4.467 -6.016 2.135" Properties=species:S:1:pos:R:3 pbc="T T T"
O 2.611 -6.288 3.388
Pb 2.234 -3.008 1.068
O 1.147 -5.063 5.409
O -2.638 -4.498 4.955
Tb 0.000 0.000 0.000
O -2.978 -3.656 2.350
O -0.113 -6.796 3.165
O -4.442 -2.431 4.372
O -1.717 -1.923 4.594
Se -2.924 -3.117 4.049
O 0.808 -4.220 2.805
Se 1.094 -5.602 3.710
```

Values from the calculation:
DOS at the Fermi energy	2.69	states/eV per cell
energy	-5.8845	eV/atom

=====

6.
The following is a DFT calculation (GGA-PBE) of crystalline TbPbSeO5 at its relaxed geometry.

The structure in extended XYZ format:
```
16
Lattice="6.267 0.115 -0.238 -1.719 6.028 -0.238 -2.179 -2.944 7.418" Properties=species:S:1:pos:R:3 pbc="T T T"
O -2.378 1.398 6.461
Pb 0.097 3.544 1.617
O 4.748 1.802 0.482
O -0.586 0.738 4.283
O 4.041 -1.654 5.326
O 0.403 2.073 6.369
Tb 0.000 0.000 0.000
O 3.121 -0.395 2.752
O -0.752 3.595 4.191
Pb 2.272 -0.344 5.326
O 1.966 1.127 0.574
O -1.672 4.854 1.617
O 2.955 2.462 2.660
Se -0.946 2.038 5.326
Tb -1.090 -1.472 3.709
Se 3.315 1.162 1.617
```

Values from the calculation:
DOS at the Fermi energy	4.35	states/eV per cell
energy	-6.1907	eV/atom

=====

7.
The following is a DFT calculation (GGA-PBE) of crystalline TcPb2SeO at its relaxed geometry.

The structure in extended XYZ format:
```
5
Lattice="5.506 0.000 0.000 0.000 3.784 0.000 0.000 0.000 5.506" Properties=species:S:1:pos:R:3 pbc="T T T"
Pb 2.753 0.000 0.000
Tc 0.000 0.000 0.000
Pb 0.000 0.000 2.753
Se 2.753 1.892 2.753
O 0.000 1.892 0.000
```

Values from the calculation:
DOS at the Fermi energy	2.27	states/eV per cell
energy	-5.5604	eV/atom

=====

8.
The following is a DFT calculation (GGA-PBE) of crystalline TePb2SeO at its relaxed geometry.

The structure in extended XYZ format:
```
5
Lattice="-1.249 -5.525 2.182 -1.050 -1.657 -4.797 5.812 -1.598 -0.720" Properties=species:S:1:pos:R:3 pbc="T T T"
Pb 2.906 -0.799 -0.360
Se -0.525 -0.829 -2.398
Pb -0.625 -2.763 1.091
O 1.756 -4.390 -1.667
Te 0.000 0.000 0.000
```

Values from the calculation:
DOS at the Fermi energy	1.40	states/eV per cell
energy	-3.0298	eV/atom

=====

9.
The following is a DFT calculation (GGA-PBE) of crystalline TiPbSeO5 at its relaxed geometry.

The structure in extended XYZ format:
```
16
Lattice="-5.648 1.472 0.663 -0.229 -3.141 -4.959 2.091 -4.832 5.981" Properties=species:S:1:pos:R:3 pbc="T T T"
O -1.988 -0.686 -0.162
Se -0.245 -5.416 1.170
O -3.936 -2.274 4.999
O -3.726 -2.646 -0.229
O -0.734 -5.133 -0.865
Se -3.541 -1.084 0.514
O -5.016 0.039 -0.497
Ti 0.000 0.000 0.000
O -0.060 -3.854 1.913
O -3.053 -1.367 2.549
O 1.230 -6.539 2.182
Ti 1.046 -2.416 2.990
Pb -1.356 -2.945 -1.753
Pb -2.431 -3.555 3.437
O 0.150 -4.226 -3.315
O -1.798 -5.814 1.846
```

Values from the calculation:
energy	-6.5652	eV/atom

=====

10.
The following is a DFT calculation (GGA-PBE) of crystalline TlPbSe2O8 at its relaxed geometry.

The structure in extended XYZ format:
```
12
Lattice="-0.259 5.333 -0.556 -1.012 2.151 -4.813 -8.951 2.256 -0.104" Properties=species:S:1:pos:R:3 pbc="T T T"
O -2.326 6.825 -3.318
O -6.201 7.346 -4.394
O -8.295 5.702 -3.779
Se -2.401 2.439 -1.399
O -7.666 5.754 -0.590
Tl -5.111 4.870 -2.736
O -4.021 2.394 -1.078
O -1.927 4.038 -1.694
O -2.556 3.985 -4.883
O -7.896 2.914 -2.155
Pb 0.000 0.000 0.000
Se -7.821 7.300 -4.074
```

Values from the calculation:
DOS at the Fermi energy	4.52	states/eV per cell
energy	-5.1312	eV/atom

=====

11.
The following is a DFT calculation (GGA-PBE) of crystalline TmPbSeO5 at its relaxed geometry.

The structure in extended XYZ format:
```
16
Lattice="6.171 0.152 -0.229 -1.656 5.947 -0.229 -2.153 -2.908 7.350" Properties=species:S:1:pos:R:3 pbc="T T T"
O 0.451 2.069 6.311
Pb 0.122 3.505 1.609
Pb 2.240 -0.314 5.284
Tm 0.000 0.000 0.000
O -1.662 4.826 1.609
O -0.561 0.702 4.256
Tm -1.077 -1.454 3.675
Se 3.272 1.173 1.609
O -2.331 1.390 6.437
Se -0.909 2.018 5.284
O 2.924 2.490 2.636
O 1.911 1.122 0.581
O 4.024 -1.635 5.284
O 3.087 -0.370 2.762
O -0.724 3.561 4.131
O 4.694 1.801 0.456
```

Values from the calculation:
DOS at the Fermi energy	4.32	states/eV per cell
energy	-6.2019	eV/atom

=====

> The lowest energy belongs to which entry?

TiPbSeO5

=====

> What is the formula in the ninth record?

TiPbSeO5

=====

> What is the formula in the tenth record?

TlPbSe2O8